A plane-wave DFT calculation with meta-GGA SCAN was carried out for a PBEsol-optimized structure of TePPt2.

Lattice parameters (Å, degrees): 4.1783 4.1783 6.0422 92.44 92.44 46.93
With the nearest neighbours (Å) after each atom.
Atoms (fractional coordinates):
Te (0.0000, 0.0000, 0.0000)  5 Pt 2.62-2.76
P (0.2559, 0.2559, 0.4913)  5 Pt 2.37-2.44
Pt (0.5433, 0.5433, 0.3590)  3 P 2.38-2.44
Pt (0.7070, 0.7070, 0.7597)  2 P 2.37, 1 Te 2.62

Computed properties:
DOS(E_F) = 1.26 states/eV/cell
Space-group type = Cm
Final energy = -47.404 eV per atom
Uncorrected formation energy = -0.39 eV/atom